Crystalline CaTc2Ni at its relaxed geometry. Source: Alexandria via LeMat-Bulk, functional PBE.

Lattice parameters (Å, degrees): 4.465 4.465 4.465 60.00 60.00 60.00
Each line ends with the local moment (μB).
Element x y z (fractional)
Tc 0.250 0.250 0.250  0.77
Ca 0.000 0.000 0.000  0.06
Tc 0.750 0.750 0.750  0.77
Ni 0.500 0.500 0.500  0.33

energy of formation	0.893	eV per atom
total energy	-6.236	eV per atom
offset from the most stable computed form	653	meV per atom
D(E_F)	5.926	states/eV/f.u.
symmetry	Fm-3m (225)


Crystalline Ca2TcNi at its relaxed geometry. Source: Alexandria via LeMat-Bulk, functional PBE.

Lattice parameters (Å, degrees): 3.077 3.077 8.434 90.00 90.00 89.91
Each line ends with the local moment (μB).
Element x y z (fractional)
Ca 0.000 0.000 0.022  0.00
Tc 0.500 0.500 0.750  0.72
Ni 0.500 0.500 0.250  -0.02
Ca 0.000 0.000 0.478  0.00

energy of formation	0.499	eV per atom
total energy	-4.539	eV per atom
offset from the most stable computed form	308	meV per atom
D(E_F)	3.719	states/eV/f.u.
symmetry	P4/mmm (123)


Crystalline CaTc2Ni at its relaxed geometry. Source: Alexandria via LeMat-Bulk, functional PBE.

Lattice parameters (Å, degrees): 4.466 4.466 4.466 60.00 60.00 60.00
Each line ends with the local moment (μB).
Element x y z (fractional)
Ca 0.500 0.500 0.500  -0.01
Tc 0.250 0.250 0.250  -0.03
Tc 0.000 0.000 0.000  0.36
Ni 0.750 0.750 0.750  0.34

energy of formation	0.424	eV per atom
total energy	-6.705	eV per atom
offset from the most stable computed form	184	meV per atom
D(E_F)	4.854	states/eV/f.u.
symmetry	F-43m (216)


Crystalline Ca2TcNi at its relaxed geometry. Source: Alexandria via LeMat-Bulk, functional PBE.

Lattice parameters (Å, degrees): 7.870 7.870 7.870 30.17 30.17 30.17
Each line ends with the local moment (μB).
Element x y z (fractional)
Ni 0.456 0.456 0.456  0.47
Ca 0.037 0.037 0.037  0.03
Tc 0.793 0.793 0.793  1.06
Ca 0.213 0.213 0.213  0.03

energy of formation	0.191	eV per atom
total energy	-4.847	eV per atom
offset from the most stable computed form	0	meV per atom
D(E_F)	3.437	states/eV/f.u.
symmetry	R3m (160)


Crystalline Ca2TcNi at its relaxed geometry. Source: Alexandria via LeMat-Bulk, functional PBE.

Lattice parameters (Å, degrees): 9.212 9.212 9.212 20.27 20.27 20.27
Each line ends with the local moment (μB).
Element x y z (fractional)
Ca 0.996 0.996 0.996  -0.01
Tc 0.750 0.750 0.750  1.16
Ca 0.504 0.504 0.504  -0.01
Ni 0.250 0.250 0.250  -0.11

energy of formation	0.656	eV per atom
total energy	-4.381	eV per atom
offset from the most stable computed form	465	meV per atom
D(E_F)	3.037	states/eV/f.u.
symmetry	R-3m (166)


Crystalline CaTc2Ni2 at its relaxed geometry. Source: Alexandria via LeMat-Bulk, functional PBE.

Lattice parameters (Å, degrees): 7.642 7.642 2.621 90.00 90.00 90.00
Element x y z (fractional)
Ni 0.320 0.180 0.500
Ca 0.000 0.000 0.000
Tc 0.614 0.114 0.000
Ni 0.180 0.680 0.500
Tc 0.386 0.886 0.000
Tc 0.114 0.386 0.000
Ca 0.500 0.500 0.000
Tc 0.886 0.614 0.000
Ni 0.680 0.820 0.500
Ni 0.820 0.320 0.500

energy of formation	0.189	eV per atom
total energy	-6.670	eV per atom
offset from the most stable computed form	0	meV per atom
D(E_F)	3.957	states/eV/f.u.
symmetry	P4/mbm (127)


Crystalline Ca2Tc2Ni at its relaxed geometry. Source: Alexandria via LeMat-Bulk, functional PBE.

Lattice parameters (Å, degrees): 6.458 6.458 4.879 90.00 90.00 90.00
Element x y z (fractional)
Tc 0.876 0.624 0.000
Ni 0.000 0.000 0.000
Tc 0.124 0.376 0.000
Tc 0.376 0.876 0.000
Ni 0.500 0.500 0.000
Ca 0.821 0.321 0.500
Ca 0.321 0.179 0.500
Tc 0.624 0.124 0.000
Ca 0.679 0.821 0.500
Ca 0.179 0.679 0.500

energy of formation	0.403	eV per atom
total energy	-5.700	eV per atom
D(E_F)	7.720	states/eV/f.u.
symmetry	P4/mbm (127)


Crystalline CaTcNi2 at its relaxed geometry. Source: Alexandria via LeMat-Bulk, functional PBE.

Lattice parameters (Å, degrees): 2.896 2.896 7.353 90.00 90.00 90.00
Element x y z (fractional)
Ni 0.000 0.000 0.056
Tc 0.000 0.000 0.438
Ca 0.500 0.500 0.768
Ni 0.500 0.500 0.238

energy of formation	0.300	eV per atom
total energy	-5.683	eV per atom
offset from the most stable computed form	148	meV per atom
D(E_F)	3.774	states/eV/f.u.
symmetry	P4mm (99)


Crystalline CaTc2Ni at its relaxed geometry. Source: Alexandria via LeMat-Bulk, functional PBE.

Lattice parameters (Å, degrees): 4.583 4.583 5.674 81.83 81.83 36.63
Element x y z (fractional)
Ni 0.266 0.266 0.198
Tc 0.734 0.734 0.844
Ca 0.507 0.507 0.478
Tc 0.993 0.993 0.979

energy of formation	0.375	eV per atom
total energy	-6.754	eV per atom
offset from the most stable computed form	135	meV per atom
D(E_F)	3.767	states/eV/f.u.
symmetry	Cm (8)


Crystalline CaTc2Ni at its relaxed geometry. Source: Alexandria via LeMat-Bulk, functional PBE.

Lattice parameters (Å, degrees): 4.269 2.736 6.001 76.77 90.00 90.00
Element x y z (fractional)
Ca 0.000 0.447 0.508
Ni 0.500 0.776 0.797
Tc 0.000 0.084 0.010
Tc 0.500 0.194 0.185

energy of formation	0.363	eV per atom
total energy	-6.765	eV per atom
offset from the most stable computed form	123	meV per atom
D(E_F)	3.825	states/eV/f.u.
symmetry	Pm (6)


Crystalline CaTcNi2Te at its relaxed geometry. Source: Alexandria via LeMat-Bulk, functional PBE.

Lattice parameters (Å, degrees): 4.625 5.113 4.625 90.00 90.00 90.00
Element x y z (fractional)
Ni 0.500 0.000 0.000
Tc 0.000 0.000 0.000
Ca 0.500 0.500 0.500
Te 0.000 0.500 0.000
Ni 0.000 0.000 0.500

total energy	-5.093	eV per atom
raw formation energy	0.32	eV/atom
D(E_F)	5.815	states/eV/f.u.
symmetry	P4/mmm (123)


Crystalline CaVTc2Ni at its relaxed geometry. Source: Alexandria via LeMat-Bulk, functional PBE.

Lattice parameters (Å, degrees): 4.492 4.319 4.492 90.00 90.00 90.00
Element x y z (fractional)
Tc 0.000 0.000 0.500
Ca 0.000 0.000 0.000
Ni 0.500 0.500 0.500
Tc 0.500 0.000 0.000
V 0.000 0.500 0.000

energy of formation	2.563	eV per atom
total energy	-4.964	eV per atom
D(E_F)	6.430	states/eV/f.u.
symmetry	P4/mmm (123)


Crystalline CaTcNi2W at its relaxed geometry. Source: Alexandria via LeMat-Bulk, functional PBE.

Lattice parameters (Å, degrees): 4.687 4.635 4.687 90.00 90.00 90.00
Each line ends with the local moment (μB).
Element x y z (fractional)
Ni 0.500 0.000 0.000  -0.02
W 0.000 0.500 0.000  0.53
Ni 0.000 0.000 0.500  -0.11
Ca 0.500 0.500 0.500  0.02
Tc 0.000 0.000 0.000  -0.12

energy of formation	0.985	eV per atom
total energy	-6.392	eV per atom
D(E_F)	5.578	states/eV/f.u.
symmetry	P4/mmm (123)


Crystalline CaNi2Te2 at its relaxed geometry. Source: Alexandria via LeMat-Bulk, functional PBE.

Lattice parameters (Å, degrees): 4.091 4.091 7.049 73.13 73.13 90.00
Element x y z (fractional)
Te 0.633 0.633 0.734
Te 0.367 0.367 0.266
Ni 0.750 0.250 0.500
Ni 0.250 0.750 0.500
Ca 0.000 0.000 0.000

total energy	-4.483	eV per atom
offset from the most stable computed form	0	meV per atom
raw formation energy	-0.51	eV/atom
D(E_F)	3.774	states/eV/f.u.
symmetry	I4/mmm (139)


Crystalline CaNi4Te at its relaxed geometry. Source: Alexandria via LeMat-Bulk, functional PBE.

Lattice parameters (Å, degrees): 5.025 5.025 5.025 60.00 60.00 60.00
Each line ends with the local moment (μB).
Element x y z (fractional)
Ni 0.876 0.375 0.375  0.13
Ca 0.000 0.000 0.000  -0.01
Ni 0.375 0.375 0.375  0.13
Ni 0.375 0.375 0.876  0.13
Ni 0.375 0.876 0.375  0.13
Te 0.750 0.750 0.750  0.02

total energy	-4.808	eV per atom
raw formation energy	-0.10	eV/atom
D(E_F)	7.695	states/eV/f.u.
symmetry	F-43m (216)


Crystalline CaNiTe at its relaxed geometry. Source: Alexandria via LeMat-Bulk, functional PBE.

Lattice parameters (Å, degrees): 4.983 4.983 5.886 90.00 90.00 90.00
Element x y z (fractional)
Te 0.000 0.000 0.500
Ni 0.500 0.000 0.646
Te 0.500 0.500 0.500
Ni 0.000 0.500 0.354
Ca 0.000 0.500 0.859
Ca 0.500 0.000 0.141

total energy	-3.994	eV per atom
raw formation energy	-0.35	eV/atom
D(E_F)	1.599	states/eV/f.u.
symmetry	P4/nmm (129)


Crystalline CaNiTe at its relaxed geometry. Source: Alexandria via LeMat-Bulk, functional PBE.

Lattice parameters (Å, degrees): 5.171 5.171 5.171 133.55 133.53 67.81
Element x y z (fractional)
Te 0.646 0.646 0.000
Ni 0.359 0.359 0.000
Ca 0.994 0.994 0.000

total energy	-3.991	eV per atom
raw formation energy	-0.35	eV/atom
D(E_F)	0.811	states/eV/f.u.
symmetry	I4mm (107)


Crystalline CaNiTe at its relaxed geometry. Source: Alexandria via LeMat-Bulk, functional PBE.

Lattice parameters (Å, degrees): 4.406 8.813 4.406 104.47 60.03 89.98
Element x y z (fractional)
Ni 0.844 0.613 0.743
Te 0.995 0.161 0.442
Ca 0.255 0.381 0.922
Ca 0.735 0.941 0.962
Ni 0.145 0.710 0.140
Te 0.495 0.661 0.442

total energy	-4.413	eV per atom
raw formation energy	-0.77	eV/atom
D(E_F)	0.682	states/eV/f.u.
symmetry	R-3m (166)


Crystalline CaNiTe at its relaxed geometry. Source: Alexandria via LeMat-Bulk, functional PBE.

Lattice parameters (Å, degrees): 4.294 4.294 7.812 105.95 105.95 90.00
Element x y z (fractional)
Te 0.120 0.120 0.240
Ni 0.000 0.500 0.000
Ca 0.653 0.653 0.306
Ca 0.347 0.347 0.694
Te 0.880 0.880 0.760
Ni 0.500 0.000 0.000

total energy	-4.255	eV per atom
raw formation energy	-0.61	eV/atom
D(E_F)	1.433	states/eV/f.u.
symmetry	I4/mmm (139)


Crystalline CaNiTe at its relaxed geometry. Source: Alexandria via LeMat-Bulk, functional PBE.

Lattice parameters (Å, degrees): 4.303 4.303 4.239 90.00 90.00 120.00
Element x y z (fractional)
Ni 0.333 0.667 0.499
Ca 0.000 0.000 0.000
Te 0.667 0.333 0.501

total energy	-4.466	eV per atom
raw formation energy	-0.82	eV/atom
D(E_F)	1.190	states/eV/f.u.
symmetry	P3m1 (156)